Entry from the Alexandria database: an optimized crystal structure of Co2SeO2 (GGA+U).

Computed properties:
As for the offset from the most stable computed form: 0.585 eV/atom. Its total energy is -22.3 eV for the cell shown. The density of states at the Fermi level comes out at 0.39 states/eV/atom.

Cell lengths 4.213, 4.213, 3.679 Å; angles 90.00, 90.00, 90.00 degrees
Space group P4/mmm (No. 123)
Inequivalent atoms, fractional coordinates:
Co (0.000, 0.500, 0.000)
Se (0.000, 0.000, 0.500)
O (0.500, 0.500, 0.000)
O (0.500, 0.500, 0.500)

***

Entry from the Alexandria database: an optimized crystal structure of Co2SeO (GGA+U).

Computed properties:
As for the offset from the most stable computed form: 0.655 eV/atom. Its total energy is -72.2 eV for the cell shown. The density of states at the Fermi level comes out at 1.02 states/eV/atom.

Cell lengths 5.979, 5.979, 5.979 Å; angles 90.00, 90.00, 90.00 degrees
Space group Fm-3m (No. 225)
Inequivalent atoms, fractional coordinates:
Co (0.250, 0.250, 0.250)
Se (0.000, 0.000, 0.000)
O (0.000, 0.000, 0.500)

***

Entry from the Alexandria database: an optimized crystal structure of CoSe3O9 (GGA+U).

Computed properties:
Its total energy is -272.0 eV for the cell shown. The density of states at the Fermi level comes out at 0.00 states/eV/atom.

Cell lengths 13.859, 7.408, 9.846 Å; angles 90.00, 124.29, 90.00 degrees
Space group Cc (No. 9)
Inequivalent atoms, fractional coordinates:
Co (0.000, 0.206, 0.000)
Se (0.138, 0.141, 0.796)
Se (0.233, 0.499, 0.225)
Se (0.366, 0.072, 0.683)
O (0.038, 0.106, 0.835)
O (0.101, 0.045, 0.622)
O (0.133, 0.385, 0.767)
O (0.168, 0.300, 0.157)
O (0.237, 0.375, 0.593)
O (0.278, 0.107, 0.947)
O (0.361, 0.475, 0.403)
O (0.442, 0.067, 0.342)
O (0.461, 0.171, 0.655)

***

Entry from the Alexandria database: an optimized crystal structure of Co3SeO (GGA+U).

Computed properties:
As for the offset from the most stable computed form: 0.800 eV/atom. Its total energy is -18.5 eV for the cell shown. The density of states at the Fermi level comes out at 1.76 states/eV/atom.

Cell lengths 4.449, 4.449, 4.449 Å; angles 90.00, 90.00, 90.00 degrees
Space group Pm-3m (No. 221)
Inequivalent atoms, fractional coordinates:
Co (0.000, 0.000, 0.500)
Se (0.000, 0.000, 0.000)
O (0.500, 0.500, 0.500)

***

Entry from the Alexandria database: an optimized crystal structure of CoSeO2 (GGA+U).

Computed properties:
Its total energy is -62.1 eV for the cell shown. The density of states at the Fermi level comes out at 0.36 states/eV/atom.

Cell lengths 2.9365, 2.9365, 18.0470 Å; angles 90.00, 90.00, 120.00 degrees
Space group R-3m (No. 166, hexagonal axes)
Inequivalent atoms, fractional coordinates:
Co (0.0000, 0.0000, 0.0000)
Se (0.0000, 0.0000, 0.5000)
O (0.0000, 0.0000, 0.3865)

***

Entry from the Alexandria database: an optimized crystal structure of CoSeO (GGA+U).

Computed properties:
Its total energy is -58.7 eV for the cell shown. The density of states at the Fermi level comes out at 0.38 states/eV/atom.

Cell lengths 5.166, 6.529, 6.621 Å; angles 65.88, 79.30, 88.55 degrees
Space group P1 (No. 1)
Inequivalent atoms, fractional coordinates:
Co (0.000, 0.000, 0.000)
Co (0.143, 0.520, 0.267)
Co (0.570, 0.145, 0.344)
Co (0.779, 0.518, 0.947)
Se (0.155, 0.017, 0.337)
Se (0.241, 0.515, 0.633)
Se (0.412, 0.151, 0.709)
Se (0.663, 0.733, 0.550)
O (0.492, 0.446, 0.196)
O (0.739, 0.187, 0.043)
O (0.934, 0.225, 0.375)
O (0.997, 0.709, 0.016)

***

Entry from the Alexandria database: an optimized crystal structure of Co3SeO (GGA+U).

Computed properties:
As for the offset from the most stable computed form: 0.000 eV/atom. Its total energy is -22.5 eV for the cell shown. The density of states at the Fermi level comes out at 0.60 states/eV/atom.

Cell lengths 3.993, 3.993, 3.993 Å; angles 90.00, 90.00, 90.00 degrees
Space group Pm-3m (No. 221)
Inequivalent atoms, fractional coordinates:
Co (0.000, 0.000, 0.500)
Se (0.500, 0.500, 0.500)
O (0.000, 0.000, 0.000)

***

Entry from the Alexandria database: an optimized crystal structure of CoSeO2 (GGA+U).

Computed properties:
Its total energy is -76.7 eV for the cell shown. The density of states at the Fermi level comes out at 0.28 states/eV/atom.

Cell lengths 5.326, 5.326, 7.676 Å; angles 90.00, 90.00, 90.00 degrees
Space group I-42d (No. 122)
Inequivalent atoms, fractional coordinates:
Co (0.000, 0.000, 0.000)
Se (0.000, 0.000, 0.500)
O (0.200, 0.250, 0.125)

***

Entry from the Alexandria database: an optimized crystal structure of CoSe2O (GGA+U).

Computed properties:
Its total energy is -41.3 eV for the cell shown. The density of states at the Fermi level comes out at 0.91 states/eV/atom.

Cell lengths 2.9818, 2.9818, 24.0899 Å; angles 90.00, 90.00, 120.00 degrees
Space group R-3m (No. 166, hexagonal axes)
Inequivalent atoms, fractional coordinates:
Co (0.0000, 0.0000, 0.0000)
Se (0.0000, 0.0000, 0.0967)
O (0.0000, 0.0000, 0.5000)

***

Entry from the Alexandria database: an optimized crystal structure of Co2SeO (GGA+U).

Computed properties:
As for the offset from the most stable computed form: 0.000 eV/atom. Its total energy is -82.7 eV for the cell shown. The density of states at the Fermi level comes out at 0.00 states/eV/atom.

Cell lengths 5.138, 5.138, 10.211 Å; angles 90.00, 90.00, 90.00 degrees
Space group I-42d (No. 122)
Inequivalent atoms, fractional coordinates:
Co (0.174, 0.250, 0.125)
Se (0.000, 0.000, 0.500)
O (0.000, 0.000, 0.000)

***

Entry from the Alexandria database: an optimized crystal structure of Co2SeO2 (GGA+U).

Computed properties:
As for the offset from the most stable computed form: 0.134 eV/atom. Its total energy is -49.1 eV for the cell shown. The density of states at the Fermi level comes out at 0.75 states/eV/atom.

Cell lengths 7.251, 7.251, 3.438 Å; angles 90.00, 90.00, 90.00 degrees
Space group P4/mbm (No. 127)
Inequivalent atoms, fractional coordinates:
Co (0.189, 0.311, 0.000)
Se (0.000, 0.000, 0.000)
O (0.153, 0.347, 0.500)

***

Entry from the Alexandria database: an optimized crystal structure of CoSeO4 (GGA+U).

Computed properties:
Its total energy is -132.9 eV for the cell shown. The density of states at the Fermi level comes out at 0.00 states/eV/atom.

Cell lengths 9.119, 6.859, 4.982 Å; angles 90.00, 90.00, 90.00 degrees
Space group Pnma (No. 62)
Inequivalent atoms, fractional coordinates:
Co (0.000, 0.000, 0.000)
Se (0.180, 0.250, 0.471)
O (0.120, 0.250, 0.792)
O (0.124, 0.044, 0.324)
O (0.134, 0.750, 0.939)

***

Repeat the seventh record exactly.
Entry from the Alexandria database: an optimized crystal structure of Co3SeO (GGA+U).

Computed properties:
As for the offset from the most stable computed form: 0.000 eV/atom. Its total energy is -22.5 eV for the cell shown. The density of states at the Fermi level comes out at 0.60 states/eV/atom.

Cell lengths 3.993, 3.993, 3.993 Å; angles 90.00, 90.00, 90.00 degrees
Space group Pm-3m (No. 221)
Inequivalent atoms, fractional coordinates:
Co (0.000, 0.000, 0.500)
Se (0.500, 0.500, 0.500)
O (0.000, 0.000, 0.000)